Compound: TcO2F2
Source: Alexandria via LeMat-Bulk
Functional: PBE-GGA
Structure: relaxed

Cell and atoms, written as CIF:
```
data_TcO2F2
_symmetry_space_group_name_H-M 'P 4/m m m'
_symmetry_Int_Tables_number 123
_symmetry_space_group_name_Hall '-P 4 2'
_cell_length_a 3.7441
_cell_length_b 3.7441
_cell_length_c 3.9903
_cell_angle_alpha 90.00
_cell_angle_beta 90.00
_cell_angle_gamma 90.00
loop_
_atom_site_label
_atom_site_type_symbol
_atom_site_fract_x
_atom_site_fract_y
_atom_site_fract_z
_atom_site_occupancy
Tc1 Tc 0.0000 0.0000 0.0000 1
O1 O 0.0000 0.5000 0.0000 1
F1 F 0.0000 0.0000 0.5000 1
F2 F 0.5000 0.5000 0.5000 1
```

E above lowest polymorph = 0 meV per atom
Theoretical density = 4.99 g/cm³
N(E_F) = 5.53 states/eV/f.u.
Formation energy from raw total energies = -1.19 eV per atom